# Si2PRh | Alexandria via LeMat-Bulk | PBE | relaxed
data_Si2PRh
_cell_length_a 2.795
_cell_length_b 3.929
_cell_length_c 10.809
_cell_angle_alpha 90.00
_cell_angle_beta 90.00
_cell_angle_gamma 90.00
_space_group_name_H-M_alt 'I m m 2'
_space_group_IT_number 44
loop_
_space_group_symop_operation_xyz
'x,y,z'
'-x,-y,z'
'-x,y,z'
'x,-y,z'
'x+1/2,y+1/2,z+1/2'
'-x+1/2,-y+1/2,z+1/2'
'-x+1/2,y+1/2,z+1/2'
'x+1/2,-y+1/2,z+1/2'
loop_
_atom_site_label
_atom_site_type_symbol
_atom_site_fract_x
_atom_site_fract_y
_atom_site_fract_z
Si1 Si 0.000 0.000 0.000
Si2 Si 0.000 0.500 0.158
P1 P 0.000 0.500 0.750
Rh1 Rh 0.000 0.000 0.437
# **Calculated volume**: 118.7 Å³ per cell
# **DOS at the Fermi energy**: 3.15 states/eV/cell
# **Formation energy without anion corrections**: 0.008 eV per atom


# SiP3Rh | Alexandria via LeMat-Bulk | PBE | relaxed
data_SiP3Rh
_cell_length_a 4.382
_cell_length_b 4.382
_cell_length_c 4.382
_cell_angle_alpha 90.00
_cell_angle_beta 90.00
_cell_angle_gamma 90.00
_space_group_name_H-M_alt 'P m -3 m'
_space_group_IT_number 221
_space_group_name_Hall '-P 4 2 3'
loop_
_atom_site_label
_atom_site_type_symbol
_atom_site_fract_x
_atom_site_fract_y
_atom_site_fract_z
Si1 Si 0.000 0.000 0.000
P1 P 0.000 0.000 0.500
Rh1 Rh 0.500 0.500 0.500
# **Energy above the lowest structure with this stoichiometry**: 0.0 meV per atom
# **Calculated volume**: 84.1 Å³ per cell
# **DOS at the Fermi energy**: 1.66 states/eV/cell
# **Formation energy without anion corrections**: 0.838 eV per atom


| no. | total energy (eV per atom) |
| --- | --- |
| 1 | -5.8941 |
| 2 | -4.9629 |